Record 1
Computed, not measured: Ho6CdSe4 after structural relaxation at the PBE level of DFT.

a b c (Å): 4.049 6.982 20.671
angles (deg): 90.00 90.00 106.85
Fractional positions:
Ho1 0.500 0.000 0.500
Ho2 0.230 0.459 0.590
Cd1 0.334 0.669 0.750
Ho3 0.954 0.907 0.836
Ho4 0.660 0.319 0.750
Se1 0.139 0.279 0.462
Se2 0.590 0.179 0.623
Se3 0.861 0.721 0.538
Ho5 0.770 0.541 0.410
Ho6 0.954 0.907 0.664
Se4 0.410 0.821 0.377
Se5 0.410 0.821 0.123
Ho7 0.230 0.459 0.910
Se6 0.590 0.179 0.877
Ho8 0.340 0.681 0.250
Cd2 0.666 0.331 0.250
Se7 0.861 0.721 0.962
Ho9 0.500 0.000 0.000
Ho10 0.046 0.093 0.336
Se8 0.139 0.279 0.038
Ho11 0.770 0.541 0.090
Ho12 0.046 0.093 0.164


Record 2
Computed, not measured: ZnCuNi2 after structural relaxation at the PBE level of DFT.

a b c (Å): 4.377 4.377 4.377
angles (deg): 130.89 130.89 71.99
Fractional positions:
Ni1 0.000 0.000 0.000
Zn1 0.500 0.500 0.000
Ni2 0.250 0.750 0.500
Cu1 0.750 0.250 0.500


Record 3
Computed, not measured: CsHg2PbF8 after structural relaxation at the PBE level of DFT.

a b c (Å): 4.916 5.678 8.816
angles (deg): 85.76 92.30 90.63
Fractional positions:
F1 0.377 0.256 0.976
F2 0.153 0.767 0.204
F3 0.106 0.747 0.830
Hg1 0.493 0.507 0.784
F4 0.482 0.278 0.417
F5 0.847 0.233 0.796
F6 0.894 0.253 0.170
Cs1 0.000 0.000 0.500
F7 0.518 0.722 0.583
F8 0.623 0.744 0.024
Pb1 0.000 0.000 0.000
Hg2 0.507 0.493 0.216


Record 4
Computed, not measured: HfSc2Nb3N6 after structural relaxation at the PBE level of DFT.

a b c (Å): 5.450 5.450 5.519
angles (deg): 99.44 99.44 119.95
Fractional positions:
Nb1 0.824 0.176 0.500
Nb2 0.500 0.500 0.500
N1 0.753 0.753 0.251
N2 0.588 0.919 0.758
N3 0.919 0.588 0.758
N4 0.412 0.081 0.242
N5 0.081 0.412 0.242
Sc1 0.666 0.334 0.000
Hf1 0.000 0.000 0.000
Nb3 0.176 0.824 0.500
N6 0.247 0.247 0.749
Sc2 0.334 0.666 0.000


Record 5
Computed, not measured: Ir2WSe after structural relaxation at the PBE level of DFT.

offset from the most stable computed form = 293 meV/atom

a b c (Å): 5.515 5.515 5.515
angles (deg): 149.57 131.63 58.23
Fractional positions:
W1 0.267 0.767 0.500
Se1 0.492 0.492 0.000
Ir1 0.022 0.022 0.000
Ir2 0.720 0.220 0.500


no.,calculated total energy (eV/atom),density of states at the Fermi level (states/eV per cell)
1,-5.1654,13.10
2,-4.3276,3.45
3,-3.5207,2.77
4,-10.0429,3.19
5,-8.1631,3.03